Density functional theory data (PBEsol) for SiPCl after structural relaxation.

Computed properties:
density: 2.810 Mg/m³
energy relative to the lowest polymorph listed for this composition: 217.9 meV per atom
SG: F-43m (216)
N(E_F): 0.877 states/eV/f.u.
total moment: 0.00 μB per formula unit

Cell and atoms, written as POSCAR:
```
SiPCl
1.0
0.0000 3.0339 3.0339
3.0339 0.0000 3.0339
3.0339 3.0339 0.0000
Si P Cl
1 1 1
Direct
0.0000 0.0000 0.0000
0.7500 0.7500 0.7500
0.5000 0.5000 0.5000
```